Entry 1:
A relaxed structure of PaGe2As, computed with PBE-GGA.

- ΔH_f (0 K) (eV per atom) = -0.531

```
PaGe2As
1.0
-1.765 0.977 4.045
3.445 -1.429 1.848
1.678 3.805 -0.186
As Pa Ge
1 1 2
Direct
0.500 0.500 0.500
0.500 0.000 0.000
0.000 0.500 0.000
0.000 0.000 0.500
```

=====

Entry 2:
A relaxed structure of Pa2GeAs, computed with PBE-GGA.

- offset from the most stable computed form (eV/atom) = 0.001
- ΔH_f (0 K) (eV per atom) = -0.758

```
Pa2GeAs
1.0
4.119 0.000 0.000
2.060 3.567 0.000
2.060 1.189 6.707
Pa As Ge
2 1 1
Direct
0.750 0.750 0.750
0.250 0.250 0.250
0.500 0.500 0.500
0.000 0.000 0.000
```

=====

Entry 3:
A relaxed structure of Pa4Ge3As, computed with PBE-GGA.

- ΔH_f (0 K) (eV per atom) = -0.597

```
Pa4Ge3As
1.0
-4.051 3.104 -2.827
0.967 -3.134 -4.826
-4.086 -3.819 1.661
Pa Ge As
4 3 1
Direct
0.500 0.000 0.000
0.000 0.000 0.500
0.500 0.500 0.500
0.000 0.500 0.000
0.000 0.500 0.500
0.500 0.000 0.500
0.500 0.500 0.000
0.000 0.000 0.000
```

=====

Entry 4:
A relaxed structure of Pa3Ge2As, computed with PBE-GGA.

- ΔH_f (0 K) (eV per atom) = -0.651

```
Pa3Ge2As
1.0
4.019 0.000 -0.916
-0.208 4.013 -0.916
-0.013 -0.013 9.218
Pa Ge As
3 2 1
Direct
0.601 0.602 0.207
0.934 0.936 0.874
0.268 0.269 0.541
0.101 0.102 0.207
0.768 0.769 0.541
0.434 0.436 0.874
```

=====

Entry 5:
A relaxed structure of Pa2GeAs, computed with PBE-GGA.

- offset from the most stable computed form (eV/atom) = 0.001
- ΔH_f (0 K) (eV per atom) = -0.757

```
Pa2GeAs
1.0
4.121 0.000 0.000
0.000 5.820 0.000
0.000 0.000 8.217
Ge As Pa
2 2 4
Direct
0.000 0.500 0.875
0.500 0.000 0.125
0.000 0.500 0.375
0.500 0.000 0.625
0.500 0.500 0.625
0.000 0.000 0.375
0.000 0.000 0.875
0.500 0.500 0.125
```

=====

Entry 6:
A relaxed structure of Pa2GeAs, computed with PBE-GGA.

- offset from the most stable computed form (eV/atom) = 0.000
- ΔH_f (0 K) (eV per atom) = -0.758

```
Pa2GeAs
1.0
6.874 0.356 -1.814
-3.268 6.073 -1.818
-0.017 -0.040 9.210
As Ge Pa
4 4 8
Direct
0.937 0.687 0.375
0.063 0.313 0.625
0.188 0.938 0.875
0.812 0.062 0.125
0.562 0.812 0.625
0.688 0.438 0.875
0.312 0.562 0.125
0.438 0.188 0.375
0.187 0.438 0.375
0.813 0.562 0.625
0.062 0.813 0.125
0.938 0.187 0.875
0.437 0.688 0.875
0.563 0.312 0.125
0.688 0.937 0.375
0.312 0.063 0.625
```

=====

Entry 7:
A relaxed structure of Pa3GeAs2, computed with PBE-GGA.

- ΔH_f (0 K) (eV per atom) = -0.864

```
Pa3GeAs2
1.0
-2.611 -3.141 0.475
1.528 -2.059 -5.214
5.013 -0.722 4.991
Ge Pa As
1 3 2
Direct
0.500 0.500 0.500
0.833 0.333 0.166
0.500 0.000 0.500
0.167 0.667 0.834
0.834 0.834 0.167
0.166 0.166 0.833
```

=====

Entry 8:
A relaxed structure of Pa2GeAs, computed with PBE-GGA.

- offset from the most stable computed form (eV/atom) = 0.178
- ΔH_f (0 K) (eV per atom) = -0.580

```
Pa2GeAs
1.0
3.511 0.000 0.000
0.000 3.511 0.000
0.000 0.000 7.060
As Pa Ge
1 2 1
Direct
0.500 0.500 0.000
0.000 0.000 0.749
0.000 0.000 0.251
0.500 0.500 0.500
```